! PrNd6Cd5 GGA-PBE optimized geometry; values from VASP
&SYSTEM
  ibrav = 0, nat = 12, ntyp = 3
/
ATOMIC_SPECIES
Nd 144.24 Nd.upf
Pr 140.91 Pr.upf
Cd 112.41 Cd.upf
CELL_PARAMETERS angstrom
5.2527 0.0221 -1.5328
-1.0791 6.9100 -3.5984
-0.0657 0.4859 9.5485
ATOMIC_POSITIONS crystal
Nd 0.8279 0.5698 0.6557
Nd 0.5000 0.2713 0.0000
Nd 0.8279 0.0859 0.6557
Nd 0.1721 0.9141 0.3443
Nd 0.5000 0.7287 0.0000
Nd 0.1721 0.4302 0.3443
Pr 0.0000 0.0000 0.0000
Cd 0.3440 0.8440 0.6880
Cd 0.3309 0.3309 0.6618
Cd 0.6691 0.6691 0.3382
Cd 0.0000 0.5000 0.0000
Cd 0.6560 0.1560 0.3120
! DOS(E_F) (states/eV/atom): 1.458
! VASP energy (eV/atom): -3.38
! ΔE_f (eV/atom): -0.221